(1)
## LiTaIr2 (PBE)

Data for a relaxed structure of LiTaIr2.

abc: 4.3824 4.3824 4.3824
angles: 60.00 60.00 60.00
With the nearest neighbours (Å) after each atom.
Atoms (fractional coordinates):
Ir 0.2500 0.2500 0.2500  4 Li 2.68, 4 Ir 2.68
Ir 0.0000 0.0000 0.0000  4 Ta 2.68, 4 Ir 2.68
Ta 0.7500 0.7500 0.7500  4 Ir 2.68, 4 Li 2.68
Li 0.5000 0.5000 0.5000  4 Ir 2.68, 4 Ta 2.68

Computed properties:
N(E_F) = 5.4 states/eV/cell
magnetization = 0.0 μB per cell
energy of formation = -26 kJ/mol of formula units
ρ = 15.97 g cm⁻³
ΔE to the lowest computed polymorph = 532 meV/atom

---

(2)
## LiTaIr3 (PBE)

Data for a relaxed structure of LiTaIr3.

abc: 4.8079 4.8079 4.8079
angles: 90.00 90.00 90.00
With the nearest neighbours (Å) after each atom.
Atoms (fractional coordinates):
Ta 0.0000 0.0000 0.0000  6 Ir 2.40
Ir 0.0000 0.0000 0.5000  2 Ta 2.40
Ir 0.0000 0.5000 0.0000  2 Ta 2.40
Ir 0.5000 0.0000 0.0000  2 Ta 2.40
Li 0.5000 0.5000 0.5000  12 Ir 3.40

Computed properties:
N(E_F) = 4.7 states/eV/cell
magnetization = 0.0 μB per cell
energy of formation = 564 kJ/mol of formula units
ρ = 11.42 g cm⁻³
ΔE to the lowest computed polymorph = 908 meV/atom

---

(3)
## LiTa3Ir (PBE)

Data for a relaxed structure of LiTa3Ir.

abc: 4.8967 4.8967 4.8967
angles: 90.00 90.00 90.00
With the nearest neighbours (Å) after each atom.
Atoms (fractional coordinates):
Li 0.5000 0.5000 0.5000  12 Ta 3.46
Ir 0.0000 0.0000 0.0000  6 Ta 2.45
Ta 0.0000 0.0000 0.5000  2 Ir 2.45
Ta 0.5000 0.0000 0.0000  2 Ir 2.45
Ta 0.0000 0.5000 0.0000  2 Ir 2.45

Computed properties:
N(E_F) = 4.1 states/eV/cell
magnetization = 0.0 μB per cell
energy of formation = 513 kJ/mol of formula units
ρ = 10.49 g cm⁻³
ΔE to the lowest computed polymorph = 71 meV/atom

---

(4)
## LiTa3Ir (PBE)

Data for a relaxed structure of LiTa3Ir.

abc: 4.3335 4.3335 4.3335
angles: 90.00 90.00 90.00
With the nearest neighbours (Å) after each atom.
Atoms (fractional coordinates):
Ir 0.5000 0.5000 0.5000  12 Ta 3.06
Ta 0.0000 0.5000 0.0000  2 Li 2.17
Ta 0.5000 0.0000 0.0000  2 Li 2.17
Ta 0.0000 0.0000 0.5000  2 Li 2.17
Li 0.0000 0.0000 0.0000  6 Ta 2.17

Computed properties:
N(E_F) = 5.0 states/eV/cell
magnetization = 0.0 μB per cell
energy of formation = 479 kJ/mol of formula units
ρ = 15.14 g cm⁻³
ΔE to the lowest computed polymorph = 0 meV/atom

---

(5)
## LiTa2Ir2 (PBE)

Data for a relaxed structure of LiTa2Ir2.

abc: 7.7304 7.7304 2.9072
angles: 90.00 90.00 90.00
With the nearest neighbours (Å) after each atom.
Atoms (fractional coordinates):
Ta 0.1577 0.6577 0.5000  6 Ir 2.66-2.71, 2 Ta 2.91
Ta 0.6577 0.8423 0.5000  6 Ir 2.66-2.71, 2 Ta 2.91
Ta 0.3423 0.1577 0.5000  6 Ir 2.66-2.71, 2 Ta 2.91
Ta 0.8423 0.3423 0.5000  6 Ir 2.66-2.71, 2 Ta 2.91
Ir 0.3619 0.8619 0.0000  6 Ta 2.66-2.71, 2 Ir 2.91
Ir 0.8619 0.6381 0.0000  6 Ta 2.66-2.71, 2 Ir 2.91
Ir 0.1381 0.3619 0.0000  6 Ta 2.66-2.71, 2 Ir 2.91
Ir 0.6381 0.1381 0.0000  6 Ta 2.66-2.71, 2 Ir 2.91
Li 0.5000 0.5000 0.0000  2 Li 2.91, 4 Ir 2.99, 8 Ta 3.26
Li 0.0000 0.0000 0.0000  2 Li 2.91, 4 Ir 2.99, 8 Ta 3.26

Computed properties:
N(E_F) = 5.6 states/eV/cell
magnetization = 0.0 μB per cell
energy of formation = -190 kJ/mol of formula units
ρ = 14.40 g cm⁻³
ΔE to the lowest computed polymorph = 0 meV/atom

---

(6)
## LiTaIr3 (PBE)

Data for a relaxed structure of LiTaIr3.

abc: 4.1356 4.1356 4.1356
angles: 90.00 90.00 90.00
With the nearest neighbours (Å) after each atom.
Atoms (fractional coordinates):
Ir 0.0000 0.5000 0.0000  2 Li 2.07
Ir 0.5000 0.0000 0.0000  2 Li 2.07
Ir 0.0000 0.0000 0.5000  2 Li 2.07
Li 0.0000 0.0000 0.0000  6 Ir 2.07
Ta 0.5000 0.5000 0.5000  12 Ir 2.92

Computed properties:
N(E_F) = 2.8 states/eV/cell
magnetization = 0.0 μB per cell
energy of formation = 126 kJ/mol of formula units
ρ = 17.95 g cm⁻³
ΔE to the lowest computed polymorph = 0 meV/atom

---

(7)
## Li3TaIr (PBE)

Data for a relaxed structure of Li3TaIr.

abc: 4.3141 4.3141 4.3141
angles: 90.00 90.00 90.00
With the nearest neighbours (Å) after each atom.
Atoms (fractional coordinates):
Ir 0.0000 0.0000 0.0000  6 Li 2.16
Ta 0.5000 0.5000 0.5000  12 Li 3.05
Li 0.0000 0.5000 0.0000  2 Ir 2.16
Li 0.0000 0.0000 0.5000  2 Ir 2.16
Li 0.5000 0.0000 0.0000  2 Ir 2.16

Computed properties:
N(E_F) = 4.4 states/eV/cell
magnetization = 0.0 μB per cell
energy of formation = 533 kJ/mol of formula units
ρ = 8.15 g cm⁻³
ΔE to the lowest computed polymorph = 0 meV/atom

---

(8)
## LiTaIr2 (PBE)

Data for a relaxed structure of LiTaIr2.

abc: 9.5918 9.5918 9.5918
angles: 16.60 16.60 16.60
With the nearest neighbours (Å) after each atom.
Atoms (fractional coordinates):
Li 0.5066 0.5066 0.5066  3 Ir 2.71, 6 Li 2.77
Ir 0.9975 0.9975 0.9975  9 Ir 2.77-2.78, 3 Ta 2.80
Ir 0.2507 0.2507 0.2507  3 Li 2.71, 9 Ir 2.77-2.78
Ta 0.7452 0.7452 0.7452  6 Ta 2.77, 3 Ir 2.80

Computed properties:
N(E_F) = 5.1 states/eV/cell
magnetization = 0.0 μB per cell
energy of formation = 20 kJ/mol of formula units
ρ = 15.14 g cm⁻³
ΔE to the lowest computed polymorph = 650 meV/atom